VASP calculation (PBE-GGA) on an optimized crystal structure of Ca2GeAu2.

Computed properties:
- calculated density (g/cm³) = 7.61
- space group = No. 127
- energy of formation (meV per atom) = -615
- magnetization (μB/atom) = 0.000

Unit cell a=7.6589 b=7.6589 c=4.0658 alpha=90.00 beta=90.00 gamma=90.00
Closest atoms and distances in Å follow each position.
Positions (direct):
Ca 0.1747 0.3253 0.0000  6 Au 2.93-3.11
Ca 0.3253 0.8253 0.0000  6 Au 2.93-3.11
Ca 0.6747 0.1747 0.0000  6 Au 2.93-3.11
Ca 0.8253 0.6747 0.0000  6 Au 2.93-3.11
Ge 0.0000 0.0000 0.5000  4 Au 3.00
Ge 0.5000 0.5000 0.5000  4 Au 3.00
Au 0.1299 0.6299 0.5000  1 Au 2.81, 6 Ca 2.93-3.11, 2 Ge 3.00
Au 0.3701 0.1299 0.5000  1 Au 2.81, 6 Ca 2.93-3.11, 2 Ge 3.00
Au 0.6299 0.8701 0.5000  1 Au 2.81, 6 Ca 2.93-3.11, 2 Ge 3.00
Au 0.8701 0.3701 0.5000  1 Au 2.81, 6 Ca 2.93-3.11, 2 Ge 3.00

VASP calculation (PBE-GGA) on an optimized crystal structure of PmNiPt.

Computed properties:
- calculated density (g/cm³) = 12.31
- space group = No. 74
- energy of formation (meV per atom) = -771
- magnetization (μB/atom) = 0.000

Unit cell a=5.3235 b=5.3235 c=5.3235 alpha=121.01 beta=117.73 gamma=91.11
Closest atoms and distances in Å follow each position.
Positions (direct):
Pm 0.3708 0.1208 0.2500  6 Ni 3.06-3.20, 6 Pt 3.09-3.14, 4 Pm 3.25-3.29
Pm 0.6292 0.8792 0.7500  6 Ni 3.06-3.20, 6 Pt 3.09-3.14, 4 Pm 3.25-3.29
Ni 0.0000 0.0000 0.5000  2 Ni 2.62, 4 Pt 2.66
Ni 0.0000 0.5000 0.0000  2 Ni 2.62, 4 Pt 2.66
Pt 0.0000 0.5000 0.5000  4 Ni 2.66, 2 Pt 2.75
Pt 0.5000 0.5000 0.0000  4 Ni 2.66, 2 Pt 2.75

VASP calculation (PBE-GGA) on an optimized crystal structure of Rb2MgCuCl6.

Computed properties:
- calculated density (g/cm³) = 3.03
- space group = No. 14
- electronic total energy (eV per atom) = -3.327
- magnetization (μB/atom) = 0.100

Unit cell a=7.2495 b=7.2428 c=12.2049 alpha=90.00 beta=126.22 gamma=90.00
Closest atoms and distances in Å follow each position.
Positions (direct):
Rb 0.2492 0.9995 0.2500  12 Cl 3.52-3.71
Rb 0.2492 0.5005 0.7500  12 Cl 3.52-3.71
Rb 0.7508 0.0005 0.7500  12 Cl 3.52-3.71
Rb 0.7508 0.4995 0.2500  12 Cl 3.52-3.71
Mg 0.5000 0.0000 0.0000  4 Cl 2.36-2.60
Mg 0.5000 0.5000 0.5000  4 Cl 2.36-2.60
Cu 0.0000 0.0000 0.5000  4 Cl 2.32-2.39
Cu 0.0000 0.5000 0.0000  4 Cl 2.32-2.39
Cl 0.2253 0.0016 0.7359  1 Cu 2.32
Cl 0.2253 0.4984 0.2359  1 Cu 2.32
Cl 0.2379 0.7332 0.0050  1 Cu 2.39
Cl 0.2379 0.7668 0.5050  1 Cu 2.39
Cl 0.2750 0.2301 0.0047  1 Mg 2.36
Cl 0.2750 0.2699 0.5047  1 Mg 2.36
Cl 0.7250 0.7301 0.4953  1 Mg 2.36
Cl 0.7250 0.7699 0.9953  1 Mg 2.36
Cl 0.7621 0.2332 0.4950  1 Cu 2.39
Cl 0.7621 0.2668 0.9950  1 Cu 2.39
Cl 0.7747 0.5016 0.7641  1 Cu 2.32
Cl 0.7747 0.9984 0.2641  1 Cu 2.32

VASP calculation (PBE-GGA) on an optimized crystal structure of Nd2Tm3Pb4.

Computed properties:
- calculated density (g/cm³) = 9.82
- space group = No. 64
- energy of formation (meV per atom) = -438
- magnetization (μB/atom) = 0.000

Unit cell a=9.3325 b=9.3325 c=8.9816 alpha=90.00 beta=90.00 gamma=135.39
Closest atoms and distances in Å follow each position.
Positions (direct):
Nd 0.1117 0.8883 0.9121  8 Pb 3.38-3.78
Nd 0.3883 0.6117 0.4121  8 Pb 3.38-3.78
Nd 0.6117 0.3883 0.5879  8 Pb 3.38-3.78
Nd 0.8883 0.1117 0.0879  8 Pb 3.38-3.78
Tm 0.0000 0.0000 0.5000  6 Pb 2.91-3.25
Tm 0.0426 0.4574 0.7500  5 Pb 3.02-3.28
Tm 0.4574 0.0426 0.2500  5 Pb 3.02-3.28
Tm 0.5000 0.5000 0.0000  6 Pb 2.91-3.25
Tm 0.5426 0.9574 0.7500  5 Pb 3.02-3.28
Tm 0.9574 0.5426 0.2500  5 Pb 3.02-3.28
Pb 0.1860 0.8140 0.5543  5 Tm 3.10-3.28, 1 Nd 3.46
Pb 0.2176 0.2824 0.7500  3 Tm 2.91-3.02
Pb 0.2824 0.2176 0.2500  3 Tm 2.91-3.02
Pb 0.3140 0.6860 0.0543  5 Tm 3.10-3.28, 1 Nd 3.46
Pb 0.6860 0.3140 0.9457  5 Tm 3.10-3.28, 1 Nd 3.46
Pb 0.7176 0.7824 0.7500  3 Tm 2.91-3.02
Pb 0.7824 0.7176 0.2500  3 Tm 2.91-3.02
Pb 0.8140 0.1860 0.4457  5 Tm 3.10-3.28, 1 Nd 3.46

VASP calculation (PBE-GGA) on an optimized crystal structure of Zr4MoN4.

Computed properties:
- calculated density (g/cm³) = 7.35
- space group = No. 87
- electronic total energy (eV per atom) = -10.076
- magnetization (μB/atom) = 0.000

Unit cell a=5.5338 b=5.5338 c=5.5338 alpha=100.04 beta=100.04 gamma=130.64
Closest atoms and distances in Å follow each position.
Positions (direct):
Zr 0.1022 0.3011 0.4033  5 N 2.23-2.31
Zr 0.3011 0.8978 0.1989  5 N 2.23-2.31
Zr 0.6989 0.1022 0.8011  5 N 2.23-2.31
Zr 0.8978 0.6989 0.5967  5 N 2.23-2.31
Mo 0.5000 0.5000 0.0000  4 N 2.24
N 0.2015 0.5990 0.8005  5 Zr 2.23-2.31, 1 Mo 2.24
N 0.4010 0.2015 0.6026  5 Zr 2.23-2.31, 1 Mo 2.24
N 0.5990 0.7985 0.3974  5 Zr 2.23-2.31, 1 Mo 2.24
N 0.7985 0.4010 0.1995  5 Zr 2.23-2.31, 1 Mo 2.24

VASP calculation (PBE-GGA) on an optimized crystal structure of Na5Sr4Ca2.

Computed properties:
- calculated density (g/cm³) = 1.79
- space group = No. 10
- energy of formation (meV per atom) = 63
- magnetization (μB/atom) = 0.000

Unit cell a=9.7567 b=4.0024 c=13.0177 alpha=90.00 beta=93.27 gamma=90.00
Closest atoms and distances in Å follow each position.
Positions (direct):
Na 0.0000 0.0000 0.0000  6 Na 3.69-4.00, 4 Sr 4.06
Na 0.0762 0.0000 0.2818  1 Ca 3.70, 4 Na 3.70-4.00, 4 Sr 4.07-4.13
Na 0.2910 0.0000 0.8310  4 Na 3.69-4.00, 1 Ca 3.70, 2 Sr 4.04
Na 0.7090 0.0000 0.1690  4 Na 3.69-4.00, 1 Ca 3.70, 2 Sr 4.04
Na 0.9238 0.0000 0.7182  1 Ca 3.70, 4 Na 3.70-4.00, 4 Sr 4.07-4.13
Sr 0.2021 0.5000 0.5540  3 Sr 4.00-4.11, 4 Ca 4.06-4.07, 6 Na 4.07-4.19
Sr 0.3436 0.5000 0.1003  3 Sr 4.00-4.13, 2 Ca 4.03, 8 Na 4.04-4.14
Sr 0.6564 0.5000 0.8997  3 Sr 4.00-4.13, 2 Ca 4.03, 8 Na 4.04-4.14
Sr 0.7979 0.5000 0.4460  3 Sr 4.00-4.11, 4 Ca 4.06-4.07, 6 Na 4.07-4.19
Ca 0.4456 0.0000 0.3627  3 Ca 3.67-4.00, 2 Na 3.70, 6 Sr 4.03-4.07
Ca 0.5544 0.0000 0.6373  3 Ca 3.67-4.00, 2 Na 3.70, 6 Sr 4.03-4.07

VASP calculation (PBE-GGA) on an optimized crystal structure of CePm5Ho.

Computed properties:
- calculated density (g/cm³) = 5.82
- space group = No. 12
- energy of formation (meV per atom) = 900
- magnetization (μB/atom) = 0.000

Unit cell a=7.8685 b=7.8685 c=5.7569 alpha=111.41 beta=111.41 gamma=66.29
Closest atoms and distances in Å follow each position.
Positions (direct):
Ce 0.0000 0.0000 0.0000  6 Pm 2.73-2.88
Pm 0.0000 0.0000 0.5000  2 Ce 2.88
Pm 0.2432 0.2432 0.2428  1 Ce 2.88, 1 Ho 3.05
Pm 0.3169 0.6831 0.0000  1 Ce 2.73
Pm 0.6831 0.3169 0.0000  1 Ce 2.73
Pm 0.7568 0.7568 0.7572  1 Ce 2.88, 1 Ho 3.05
Ho 0.5000 0.5000 0.5000  6 Pm 3.05-3.28

VASP calculation (PBE-GGA) on an optimized crystal structure of Zn2SbRh.

Computed properties:
- calculated density (g/cm³) = 8.67
- space group = No. 65
- electronic total energy (eV per atom) = -3.539
- magnetization (μB/atom) = 0.000

Unit cell a=4.7830 b=4.7830 c=3.2210 alpha=90.00 beta=90.00 gamma=112.47
Closest atoms and distances in Å follow each position.
Positions (direct):
Zn 0.0000 0.5000 0.0000  2 Zn 2.66, 4 Sb 2.88, 4 Rh 2.88
Zn 0.5000 0.0000 0.0000  2 Zn 2.66, 4 Sb 2.88, 4 Rh 2.88
Sb 0.0000 0.0000 0.5000  2 Rh 2.66, 8 Zn 2.88
Rh 0.5000 0.5000 0.5000  2 Sb 2.66, 8 Zn 2.88

VASP calculation (PBE-GGA) on an optimized crystal structure of Pm4Se5F.

Computed properties:
- calculated density (g/cm³) = 5.84
- space group = No. 12
- electronic total energy (eV per atom) = -5.801
- magnetization (μB/atom) = 0.000

Unit cell a=10.0761 b=10.0761 c=7.6269 alpha=112.16 beta=112.16 gamma=23.29
Closest atoms and distances in Å follow each position.
Positions (direct):
Pm 0.0000 0.0000 0.2423  2 F 2.75, 4 Se 2.83-2.92
Pm 0.0000 0.0000 0.7577  2 F 2.75, 4 Se 2.83-2.92
Pm 0.2796 0.2796 0.7795  6 Se 2.94-2.95
Pm 0.7204 0.7204 0.2205  6 Se 2.94-2.95
Se 0.1605 0.1605 0.9210  4 Pm 2.92-2.95
Se 0.1605 0.1605 0.4007  4 Pm 2.92-2.94
Se 0.5000 0.5000 0.5000  4 Pm 2.83
Se 0.8395 0.8395 0.5993  4 Pm 2.92-2.94
Se 0.8395 0.8395 0.0790  4 Pm 2.92-2.95
F 0.5000 0.5000 0.0000  4 Pm 2.75

VASP calculation (PBE-GGA) on an optimized crystal structure of YZrZn2.

Computed properties:
- calculated density (g/cm³) = 5.76
- space group = No. 166
- energy of formation (meV per atom) = -73
- magnetization (μB/atom) = 0.000

Unit cell a=8.9456 b=8.9456 c=8.9456 alpha=22.20 beta=22.20 gamma=22.20
Closest atoms and distances in Å follow each position.
Positions (direct):
Y 0.0000 0.0000 0.0000  6 Zn 3.03
Zr 0.5000 0.5000 0.5000  6 Zn 2.88
Zn 0.2462 0.2462 0.2462  3 Zr 2.88, 3 Y 3.03
Zn 0.7538 0.7538 0.7538  3 Zr 2.88, 3 Y 3.03

VASP calculation (PBE-GGA) on an optimized crystal structure of ZrRe2P.

Computed properties:
- calculated density (g/cm³) = 13.06
- space group = No. 71
- energy of formation (meV per atom) = -210
- magnetization (μB/atom) = 0.000

Unit cell a=5.4019 b=5.4019 c=5.4019 alpha=148.23 beta=130.12 gamma=60.36
Closest atoms and distances in Å follow each position.
Positions (direct):
Zr 0.0000 0.0000 0.0000  4 P 2.72, 2 Zr 2.96, 4 Re 3.02
Re 0.2884 0.7884 0.5000  2 P 2.47
Re 0.7116 0.2116 0.5000  2 P 2.47
P 0.5000 0.5000 0.0000  4 Re 2.47, 4 Zr 2.72

VASP calculation (PBE-GGA) on an optimized crystal structure of Ce3AsC.

Computed properties:
- calculated density (g/cm³) = 7.38
- space group = No. 221
- energy of formation (meV per atom) = -533
- magnetization (μB/atom) = 0.384

Unit cell a=4.8514 b=4.8514 c=4.8514 alpha=90.00 beta=90.00 gamma=90.00
Closest atoms and distances in Å follow each position.
Positions (direct):
Ce 0.0000 0.0000 0.5000  2 C 2.43
Ce 0.0000 0.5000 0.0000  2 C 2.43
Ce 0.5000 0.0000 0.0000  2 C 2.43
As 0.5000 0.5000 0.5000  12 Ce 3.43
C 0.0000 0.0000 0.0000  6 Ce 2.43